DFT (PBE) results for a geometry-optimized ReBRh2 structure.

Geometry as POSCAR:
```
ReBRh2
1.0
5.1395 0.0000 0.0000
0.0000 5.1395 0.0000
2.5698 2.5698 4.9968
Re B Rh
2 2 4
direct
0.0000 0.0000 0.0000
0.7500 0.2500 0.5000
0.5000 0.5000 0.0000
0.2500 0.7500 0.5000
0.5598 0.1250 0.2500
0.1902 0.6250 0.2500
0.3750 0.4402 0.7500
0.8750 0.8098 0.7500
```

formation energy from the elements	0.6533	eV per atom
space group	No. 122
V	132.0	Å³ per cell
ρ	10.14	g/cm3
total moment	0.0	μB/cell

=====

DFT (PBE) results for a geometry-optimized ReBRh structure.

Geometry as POSCAR:
```
ReBRh
1.0
-0.4280 -0.2639 3.0635
4.1759 -0.7919 0.5152
0.9600 5.4557 0.6040
B Re Rh
2 2 2
direct
0.7500 0.7500 0.8500
0.2500 0.2500 0.1500
0.7500 0.2500 0.8747
0.2500 0.7500 0.1253
0.7500 0.2500 0.3912
0.2500 0.7500 0.6088
```

formation energy from the elements	-0.0603	eV per atom
space group	No. 59
V	74.1	Å³ per cell
ρ	13.45	g/cm3
total moment	0.0	μB/cell

=====

DFT (PBE) results for a geometry-optimized ReBRh structure.

Geometry as POSCAR:
```
ReBRh
1.0
2.7338 0.0000 0.0000
0.0000 2.7338 0.0000
-1.3669 -1.3669 4.6643
Re B Rh
1 1 1
direct
0.6424 0.6424 0.2848
0.2807 0.2807 0.5615
0.9269 0.9269 0.8537
```

formation energy from the elements	-0.0172	eV per atom
space group	No. 107
V	34.9	Å³ per cell
ρ	14.29	g/cm3
total moment	0.0	μB/cell

=====

DFT (PBE) results for a geometry-optimized Re2B2Rh structure.

Geometry as POSCAR:
```
Re2B2Rh
1.0
-4.8656 -2.1154 -1.5787
1.7144 -5.0501 1.4830
-1.3016 0.5282 3.3036
Re B Rh
4 4 2
direct
0.1733 0.6733 0.5000
0.6733 0.8267 0.5000
0.8267 0.3267 0.5000
0.3267 0.1733 0.5000
0.3858 0.8858 0.0000
0.8858 0.6142 0.0000
0.6142 0.1142 0.0000
0.1142 0.3858 0.0000
0.0000 0.0000 0.0000
0.5000 0.5000 0.0000
```

formation energy from the elements	-0.1258	eV per atom
E above lowest polymorph	0.00	kJ per mole of atoms
space group	No. 127
V	110.0	Å³ per cell
ρ	15.00	g/cm3
total moment	0.0	μB/cell

=====

> Which value of formation energy from the elements does entry 3 give?

-0.0172 eV per atom